Below is a relaxed Sm5PuBi6 crystal, with properties calculated at the GGA-PBE level.

Properties
DFT formation energy = -0.822 eV/atom
electronic total energy = -5.92 eV per atom

Structure (CIF):
```
data_Sm5PuBi6
_symmetry_space_group_name_H-M 'C 1 2/m 1'
_symmetry_Int_Tables_number 12
_symmetry_space_group_name_Hall '-C 2y'
_cell_length_a 7.8948
_cell_length_b 13.6666
_cell_length_c 7.8928
_cell_angle_alpha 90.00
_cell_angle_beta 109.46
_cell_angle_gamma 90.00
loop_
_atom_site_label
_atom_site_fract_x
_atom_site_fract_y
_atom_site_fract_z
Sm1 0.0000 0.0000 0.0000
Sm2 0.0000 0.1665 0.5000
Sm3 0.0000 0.3327 0.0000
Pu1 0.0000 0.5000 0.5000
Bi1 0.2489 0.3342 0.7493
Bi2 0.2486 0.5000 0.2509
```

=====

Below is a relaxed RbTl4Bi2 crystal, with properties calculated at the GGA-PBE level.

Properties
DFT formation energy = -0.111 eV/atom
electronic total energy = -2.71 eV per atom
polymorph energy (0 for the lowest one) = 0 meV per atom

Structure (CIF):
```
data_RbTl4Bi2
_symmetry_space_group_name_H-M 'C m m m'
_symmetry_Int_Tables_number 65
_symmetry_space_group_name_Hall '-C 2 2'
_cell_length_a 5.2347
_cell_length_b 19.3569
_cell_length_c 5.1547
_cell_angle_alpha 90.00
_cell_angle_beta 90.00
_cell_angle_gamma 90.00
loop_
_atom_site_label
_atom_site_fract_x
_atom_site_fract_y
_atom_site_fract_z
Rb1 0.0000 0.0000 0.0000
Tl1 0.0000 0.1850 0.5000
Tl2 0.0000 0.3142 0.0000
Bi1 0.0000 0.4196 0.5000
```